# 1
First-principles (GGA-PBE) data for crystalline La3Nd2Sm8 at its relaxed geometry, as listed in Alexandria via LeMat-Bulk.

- Energy above the lowest structure with this stoichiometry: 0.2067 eV/atom
- Theoretical density: 6.78 g/cm³
- E_form: 21.8 kJ/mol of atoms
- SG: C2/m (12)

Cell and atoms, written as extended XYZ:
```
13
Lattice="10.4004 -3.8950 0.0000 10.4004 3.8950 0.0000 -0.0099 0.0000 5.7643" Properties=species:S:1:pos:R:3 pbc="T T T"
La 0.0000 0.0000 0.0000
La 10.3955 1.5864 2.8822
La 10.3955 -1.5864 2.8822
Nd 5.0208 0.0000 5.7467
Nd 15.7701 0.0000 0.0177
Sm 2.7959 0.0000 2.8779
Sm 8.1590 1.6238 5.7586
Sm 6.8292 0.0000 2.8675
Sm 12.6319 1.6238 0.0057
Sm 8.1590 -1.6238 5.7586
Sm 13.9617 0.0000 2.8968
Sm 12.6319 -1.6238 0.0057
Sm 17.9950 0.0000 2.8864
```



# 2
First-principles (GGA-PBE) data for crystalline InIr2Se at its relaxed geometry, as listed in Alexandria via LeMat-Bulk.

- Energy above the lowest structure with this stoichiometry: 0.1193 eV/atom
- Theoretical density: 13.95 g/cm³
- Raw formation energy: 287 meV per atom
- SG: Imm2 (44)

Cell and atoms, written as extended XYZ:
```
4
Lattice="-1.5149 2.2828 4.9742 1.5149 -2.2828 4.9742 1.5149 2.2828 -4.9742" Properties=species:S:1:pos:R:3 pbc="T T T"
In 0.0000 0.0000 0.0000
Ir 1.5149 0.0000 2.7446
Ir 0.0000 0.0000 5.2117
Se 0.0000 2.2828 2.2729
```



# 3
First-principles (GGA-PBE) data for crystalline Ta2Cd2Fe at its relaxed geometry, as listed in Alexandria via LeMat-Bulk.

- Energy above the lowest structure with this stoichiometry: 0.0000 eV/atom
- Theoretical density: 11.51 g/cm³
- E_form: 78.6 kJ/mol of atoms
- SG: P4/mbm (127)

Cell and atoms, written as extended XYZ:
```
10
Lattice="6.7890 0.0000 0.0000 0.0000 6.7890 0.0000 0.0000 0.0000 4.0218" Properties=species:S:1:pos:R:3 pbc="T T T"
Ta 1.1150 2.2795 0.0000
Ta 2.2795 5.6740 0.0000
Ta 4.5095 1.1150 0.0000
Ta 5.6740 4.5095 0.0000
Cd 0.9572 4.3517 2.0109
Cd 2.4373 0.9572 2.0109
Cd 4.3517 5.8318 2.0109
Cd 5.8318 2.4373 2.0109
Fe 0.0000 0.0000 2.0109
Fe 3.3945 3.3945 2.0109
```



# 4
First-principles (GGA-PBE) data for crystalline ZrHgSb2 at its relaxed geometry, as listed in Alexandria via LeMat-Bulk.

- Theoretical density: 9.03 g/cm³
- Raw formation energy: -113 meV per atom
- SG: Cm (8)

Cell and atoms, written as extended XYZ:
```
4
Lattice="5.8150 -1.5818 0.0000 5.8150 1.5818 0.0000 -1.2575 0.0000 5.3511" Properties=species:S:1:pos:R:3 pbc="T T T"
Zr 0.0000 0.0000 0.0000
Hg 7.7552 0.0000 1.7923
Sb 1.9505 0.0000 4.5750
Sb 4.6931 0.0000 2.6411
```



# 5
First-principles (GGA-PBE) data for crystalline SmThZn at its relaxed geometry, as listed in Alexandria via LeMat-Bulk.

- Energy above the lowest structure with this stoichiometry: 0.0039 eV/atom
- Theoretical density: 8.98 g/cm³
- E_form: -11.9 kJ/mol of atoms
- SG: I4mm (107)

Cell and atoms, written as extended XYZ:
```
3
Lattice="-1.8207 1.8207 6.2460 1.8207 -1.8207 6.2460 1.8207 1.8207 -6.2460" Properties=species:S:1:pos:R:3 pbc="T T T"
Sm 0.0000 0.0000 0.0000
Th 0.0000 0.0000 3.7226
Zn 0.0000 0.0000 8.0630
```



# 6
First-principles (GGA-PBE) data for crystalline Rb4MgF6 at its relaxed geometry, as listed in Alexandria via LeMat-Bulk.

- Theoretical density: 3.64 g/cm³
- Raw formation energy: -2920 meV per atom
- SG: R-3c (167)

Cell and atoms, written as extended XYZ:
```
22
Lattice="5.3186 3.0707 4.4662 -5.3186 3.0707 4.4662 0.0000 -6.1414 4.4662" Properties=species:S:1:pos:R:3 pbc="T T T"
Rb -3.3828 0.2822 5.5827
Rb 0.0000 0.0000 3.3496
Rb -1.9358 -2.7885 7.8158
Rb 1.4470 -3.0707 5.5827
Rb -1.4470 3.0707 7.8158
Rb 1.9358 2.7885 5.5827
Rb 0.0000 0.0000 10.0489
Rb 3.3828 -0.2822 7.8158
Mg 0.0000 0.0000 0.0000
Mg 0.0000 0.0000 6.6993
F -4.6521 -1.5270 7.7401
F -1.0036 -4.7924 5.6585
F -1.0036 -1.3490 5.5070
F -3.6485 3.2653 5.6585
F -0.6665 1.5437 5.5070
F -1.6701 0.1946 7.8916
F 1.6701 -0.1946 5.5070
F 0.6665 -1.5437 7.8916
F 3.6485 -3.2653 7.7401
F 1.0036 1.3490 7.8916
F 1.0036 4.7924 7.7401
F 4.6521 1.5270 5.6585
```